1.
{"formula": "Ge2SbOsN", "functional": "meta-GGA SCAN", "state": "PBEsol geometry", "e_form_raw_ev_per_atom": 2.508, "volume_a3_per_cell": 139.64, "energy_ev_per_cell": -144.07, "spacegroup": "P4/mmm", "lattice_angstrom": [[4.902, 0.000, 0.000], [0.000, 5.337, 0.000], [0.000, 0.000, 5.337]], "species": ["Sb", "Ge", "Ge", "Os", "N"], "frac_coords": [[0.000, 0.000, 0.000], [0.000, 0.000, 0.500], [0.000, 0.500, 0.000], [0.500, 0.000, 0.000], [0.500, 0.500, 0.500]]}

***

2.
{"formula": "Ge2PN", "functional": "meta-GGA SCAN", "state": "PBEsol geometry", "e_form_raw_ev_per_atom": 1.198, "volume_a3_per_cell": 54.02, "energy_ev_per_cell": -53.07, "spacegroup": "Fm-3m", "lattice_angstrom": [[4.243, 0.000, 0.000], [2.122, 3.675, 0.000], [2.122, 1.225, 3.465]], "species": ["P", "Ge", "Ge", "N"], "frac_coords": [[0.500, 0.500, 0.500], [0.250, 0.250, 0.250], [0.750, 0.750, 0.750], [0.000, 0.000, 0.000]]}

***

3.
{"formula": "GeP2SN", "functional": "meta-GGA SCAN", "state": "PBEsol geometry", "e_form_raw_ev_per_atom": 1.072, "volume_a3_per_cell": 68.93, "energy_ev_per_cell": -53.45, "spacegroup": "P4/mmm", "lattice_angstrom": [[-3.565, -0.689, -1.996], [0.856, -4.052, -0.132], [-1.870, -0.509, 3.515]], "species": ["N", "Ge", "P", "P", "S"], "frac_coords": [[0.000, 0.000, 0.000], [0.500, 0.500, 0.500], [0.000, 0.500, 0.000], [0.500, 0.000, 0.000], [0.000, 0.000, 0.500]]}

***

4.
{"formula": "GePS2N", "functional": "meta-GGA SCAN", "state": "PBEsol geometry", "e_form_raw_ev_per_atom": 0.457, "volume_a3_per_cell": 71.65, "energy_ev_per_cell": -55.75, "e_above_lowest_polymorph_mev_per_atom": 0, "spacegroup": "P4/mmm", "lattice_angstrom": [[-1.767, -2.774, -0.173], [2.188, -1.630, 3.783], [-3.272, 1.915, 2.718]], "species": ["Ge", "S", "S", "N", "P"], "frac_coords": [[0.500, 0.500, 0.500], [0.000, 0.500, 0.000], [0.000, 0.000, 0.500], [0.500, 0.000, 0.000], [0.000, 0.000, 0.000]]}

***

5.
{"formula": "GePS2N", "functional": "meta-GGA SCAN", "state": "PBEsol geometry", "e_form_raw_ev_per_atom": 1.078, "volume_a3_per_cell": 74.48, "energy_ev_per_cell": -52.64, "e_above_lowest_polymorph_mev_per_atom": 621, "spacegroup": "P4/mmm", "lattice_angstrom": [[-3.189, -1.341, 1.024], [1.339, 0.129, 4.340], [-1.650, 4.216, 0.384]], "species": ["P", "S", "S", "N", "Ge"], "frac_coords": [[0.500, 0.000, 0.000], [0.000, 0.500, 0.000], [0.000, 0.000, 0.500], [0.000, 0.000, 0.000], [0.500, 0.500, 0.500]]}

***

6.
{"formula": "RbGePdN2", "functional": "meta-GGA SCAN", "state": "PBEsol geometry", "e_form_raw_ev_per_atom": 1.299, "volume_a3_per_cell": 86.86, "energy_ev_per_cell": -84.69, "spacegroup": "P4/mmm", "lattice_angstrom": [[4.247, 0.000, 0.000], [0.000, 4.247, 0.000], [0.000, 0.000, 4.815]], "species": ["N", "N", "Ge", "Rb", "Pd"], "frac_coords": [[0.500, 0.000, 0.000], [0.000, 0.500, 0.000], [0.000, 0.000, 0.500], [0.500, 0.500, 0.500], [0.000, 0.000, 0.000]]}